(1)
Density functional theory data (PBE-GGA) for a relaxed structure of TbNdSn.

Calculated values
Total DFT energy (no corrections) (eV for the cell shown): -58.62
Excess energy over the best structure of this formula in the dataset (eV/atom): 0.000

Geometry as CIF:
```
data_TbNdSn
_chemical_formula_sum 'Tb4 Nd4 Sn4'
_cell_length_a 7.397
_cell_length_b 7.397
_cell_length_c 7.397
_cell_angle_alpha 90.00
_cell_angle_beta 90.00
_cell_angle_gamma 90.00
_symmetry_space_group_name_H-M 'F -4 3 m'
_symmetry_Int_Tables_number 216
_symmetry_space_group_name_Hall 'F -4 2 3'
loop_
_atom_site_label
_atom_site_fract_x
_atom_site_fract_y
_atom_site_fract_z
Tb1 0.000 0.000 0.000
Nd1 0.000 0.000 0.500
Sn1 0.250 0.250 0.750
```



(2)
Density functional theory data (PBE-GGA) for a relaxed structure of Tb2NdSn7.

Calculated values
Total DFT energy (no corrections) (eV for the cell shown): -95.39

Geometry as CIF:
```
data_Tb2NdSn7
_chemical_formula_sum 'Tb4 Nd2 Sn14'
_cell_length_a 4.434
_cell_length_b 26.713
_cell_length_c 4.494
_cell_angle_alpha 90.00
_cell_angle_beta 90.00
_cell_angle_gamma 90.00
_symmetry_space_group_name_H-M 'C m m m'
_symmetry_Int_Tables_number 65
_symmetry_space_group_name_Hall '-C 2 2'
loop_
_atom_site_label
_atom_site_fract_x
_atom_site_fract_y
_atom_site_fract_z
Tb1 0.000 0.190 0.000
Nd1 0.000 0.500 0.500
Sn1 0.000 0.000 0.000
Sn2 0.000 0.098 0.500
Sn3 0.000 0.288 0.500
Sn4 0.000 0.402 0.000
```



(3)
Density functional theory data (PBE-GGA) for a relaxed structure of NdSnTe.

Calculated values
Total DFT energy (no corrections) (eV for the cell shown): -52.98

Geometry as CIF:
```
data_NdSnTe
_chemical_formula_sum 'Nd4 Sn4 Te4'
_cell_length_a 7.407
_cell_length_b 7.407
_cell_length_c 7.407
_cell_angle_alpha 90.00
_cell_angle_beta 90.00
_cell_angle_gamma 90.00
_symmetry_space_group_name_H-M 'F -4 3 m'
_symmetry_Int_Tables_number 216
_symmetry_space_group_name_Hall 'F -4 2 3'
loop_
_atom_site_label
_atom_site_fract_x
_atom_site_fract_y
_atom_site_fract_z
Nd1 0.000 0.000 0.000
Sn1 0.000 0.000 0.500
Te1 0.250 0.250 0.250
```



(4)
Density functional theory data (PBE-GGA) for a relaxed structure of NdSnTe.

Calculated values
Total DFT energy (no corrections) (eV for the cell shown): -52.45

Geometry as CIF:
```
data_NdSnTe
_chemical_formula_sum 'Nd4 Sn4 Te4'
_cell_length_a 7.505
_cell_length_b 7.505
_cell_length_c 7.505
_cell_angle_alpha 90.00
_cell_angle_beta 90.00
_cell_angle_gamma 90.00
_symmetry_space_group_name_H-M 'F -4 3 m'
_symmetry_Int_Tables_number 216
_symmetry_space_group_name_Hall 'F -4 2 3'
loop_
_atom_site_label
_atom_site_fract_x
_atom_site_fract_y
_atom_site_fract_z
Nd1 0.000 0.000 0.000
Sn1 0.250 0.250 0.750
Te1 0.250 0.250 0.250
```



(5)
Density functional theory data (PBE-GGA) for a relaxed structure of Nd6SnTe5.

Calculated values
Total DFT energy (no corrections) (eV for the cell shown): -129.12

Geometry as CIF:
```
data_Nd6SnTe5
_chemical_formula_sum 'Nd12 Sn2 Te10'
_cell_length_a 7.802
_cell_length_b 13.500
_cell_length_c 7.834
_cell_angle_alpha 90.00
_cell_angle_beta 109.35
_cell_angle_gamma 90.00
_symmetry_space_group_name_H-M 'C 1 2/m 1'
_symmetry_Int_Tables_number 12
loop_
_symmetry_equiv_pos_as_xyz
'x,y,z'
'-x,-y,-z'
'-x,y,-z'
'x,-y,z'
'x+1/2,y+1/2,z'
'-x+1/2,-y+1/2,-z'
'-x+1/2,y+1/2,-z'
'x+1/2,-y+1/2,z'
loop_
_atom_site_label
_atom_site_fract_x
_atom_site_fract_y
_atom_site_fract_z
Nd1 0.243 0.000 0.255
Nd2 0.244 0.163 0.744
Sn1 0.000 0.000 0.500
Te1 0.000 0.169 0.000
Te2 0.000 0.334 0.500
Te3 0.000 0.500 0.000
```



(6)
Density functional theory data (PBE-GGA) for a relaxed structure of NdTmSn.

Calculated values
Total DFT energy (no corrections) (eV for the cell shown): -57.57
Excess energy over the best structure of this formula in the dataset (eV/atom): 0.000

Geometry as CIF:
```
data_NdTmSn
_chemical_formula_sum 'Nd4 Tm4 Sn4'
_cell_length_a 7.333
_cell_length_b 7.333
_cell_length_c 7.333
_cell_angle_alpha 90.00
_cell_angle_beta 90.00
_cell_angle_gamma 90.00
_symmetry_space_group_name_H-M 'F -4 3 m'
_symmetry_Int_Tables_number 216
_symmetry_space_group_name_Hall 'F -4 2 3'
loop_
_atom_site_label
_atom_site_fract_x
_atom_site_fract_y
_atom_site_fract_z
Nd1 0.000 0.000 0.000
Tm1 0.000 0.000 0.500
Sn1 0.250 0.250 0.250
```



(7)
Density functional theory data (PBE-GGA) for a relaxed structure of NdSnW.

Calculated values
Total DFT energy (no corrections) (eV for the cell shown): -70.85

Geometry as CIF:
```
data_NdSnW
_chemical_formula_sum 'Nd4 Sn4 W4'
_cell_length_a 7.112
_cell_length_b 7.112
_cell_length_c 7.112
_cell_angle_alpha 90.00
_cell_angle_beta 90.00
_cell_angle_gamma 90.00
_symmetry_space_group_name_H-M 'F -4 3 m'
_symmetry_Int_Tables_number 216
_symmetry_space_group_name_Hall 'F -4 2 3'
loop_
_atom_site_label
_atom_site_fract_x
_atom_site_fract_y
_atom_site_fract_z
Nd1 0.000 0.000 0.000
Sn1 0.250 0.250 0.750
W1 0.250 0.250 0.250
```



(8)
Density functional theory data (PBE-GGA) for a relaxed structure of NdY2Sn7.

Calculated values
Total DFT energy (no corrections) (eV for the cell shown): -102.71

Geometry as CIF:
```
data_NdY2Sn7
_chemical_formula_sum 'Nd2 Y4 Sn14'
_cell_length_a 4.431
_cell_length_b 26.701
_cell_length_c 4.487
_cell_angle_alpha 90.00
_cell_angle_beta 90.00
_cell_angle_gamma 90.00
_symmetry_space_group_name_H-M 'C m m m'
_symmetry_Int_Tables_number 65
_symmetry_space_group_name_Hall '-C 2 2'
loop_
_atom_site_label
_atom_site_fract_x
_atom_site_fract_y
_atom_site_fract_z
Nd1 0.000 0.000 0.000
Y1 0.000 0.311 0.500
Sn1 0.000 0.097 0.500
Sn2 0.000 0.212 0.000
Sn3 0.000 0.402 0.000
Sn4 0.000 0.500 0.500
```



(9)
Density functional theory data (PBE-GGA) for a relaxed structure of NdYZn2Sn2.

Calculated values
Total DFT energy (no corrections) (eV for the cell shown): -50.93
Excess energy over the best structure of this formula in the dataset (eV/atom): 0.014

Geometry as CIF:
```
data_NdYZn2Sn2
_chemical_formula_sum 'Nd2 Y2 Zn4 Sn4'
_cell_length_a 4.5526
_cell_length_b 4.5526
_cell_length_c 16.1421
_cell_angle_alpha 90.00
_cell_angle_beta 90.00
_cell_angle_gamma 120.00
_symmetry_space_group_name_H-M 'P 63/m m c'
_symmetry_Int_Tables_number 194
_symmetry_space_group_name_Hall '-P 6c 2c'
loop_
_atom_site_label
_atom_site_fract_x
_atom_site_fract_y
_atom_site_fract_z
Nd1 0.0000 0.0000 0.2500
Y1 0.0000 0.0000 0.0000
Zn1 0.3333 0.6667 0.1555
Sn1 0.3333 0.6667 0.6118
```



(10)
Density functional theory data (PBE-GGA) for a relaxed structure of NdYZn2Sn2.

Calculated values
Total DFT energy (no corrections) (eV for the cell shown): -51.10
Excess energy over the best structure of this formula in the dataset (eV/atom): 0.000

Geometry as CIF:
```
data_NdYZn2Sn2
_chemical_formula_sum 'Nd2 Y2 Zn4 Sn4'
_cell_length_a 4.5399
_cell_length_b 4.5399
_cell_length_c 16.2252
_cell_angle_alpha 90.00
_cell_angle_beta 90.00
_cell_angle_gamma 120.00
_symmetry_space_group_name_H-M 'P 63/m m c'
_symmetry_Int_Tables_number 194
_symmetry_space_group_name_Hall '-P 6c 2c'
loop_
_atom_site_label
_atom_site_fract_x
_atom_site_fract_y
_atom_site_fract_z
Nd1 0.0000 0.0000 0.0000
Y1 0.0000 0.0000 0.2500
Zn1 0.3333 0.6667 0.1610
Sn1 0.3333 0.6667 0.6176
```



(11)
Density functional theory data (PBE-GGA) for a relaxed structure of Nd4Zn3Sn2.

Calculated values
Total DFT energy (no corrections) (eV for the cell shown): -32.47

Geometry as CIF:
```
data_Nd4Zn3Sn2
_chemical_formula_sum 'Nd4 Zn3 Sn2'
_cell_length_a 8.8215
_cell_length_b 8.8215
_cell_length_c 3.5107
_cell_angle_alpha 90.00
_cell_angle_beta 90.00
_cell_angle_gamma 120.00
_symmetry_space_group_name_H-M 'P -6'
_symmetry_Int_Tables_number 174
loop_
_symmetry_equiv_pos_as_xyz
'x,y,z'
'-x+y,-x,-z'
'-y,x-y,z'
'x,y,-z'
'-x+y,-x,z'
'-y,x-y,-z'
loop_
_atom_site_label
_atom_site_fract_x
_atom_site_fract_y
_atom_site_fract_z
Nd1 0.0000 0.0000 0.0000
Nd2 0.0355 0.3694 0.0000
Zn1 0.3226 0.2854 0.5000
Sn1 0.3333 0.6667 0.5000
Sn2 0.6667 0.3333 0.0000
```



(12)
Density functional theory data (PBE-GGA) for a relaxed structure of Nd2Zn5Sn.

Calculated values
Total DFT energy (no corrections) (eV for the cell shown): -93.95

Geometry as CIF:
```
data_Nd2Zn5Sn
_chemical_formula_sum 'Nd8 Zn20 Sn4'
_cell_length_a 4.445
_cell_length_b 16.559
_cell_length_c 9.069
_cell_angle_alpha 90.00
_cell_angle_beta 90.00
_cell_angle_gamma 90.00
_symmetry_space_group_name_H-M 'C m c m'
_symmetry_Int_Tables_number 63
_symmetry_space_group_name_Hall '-C 2c 2'
loop_
_atom_site_label
_atom_site_fract_x
_atom_site_fract_y
_atom_site_fract_z
Nd1 0.000 0.000 0.000
Nd2 0.000 0.205 0.250
Zn1 0.000 0.186 0.609
Zn2 0.000 0.344 0.517
Zn3 0.000 0.394 0.250
Sn1 0.000 0.446 0.750
```